DFT (GGA-PBE) results for a geometry-optimized Pu2FeCu structure.

The structure in POSCAR format:
```
Pu2FeCu
1.0
-2.369 1.073 -1.816
-1.917 0.045 2.526
2.113 7.164 1.475
Cu Pu Fe
1 2 1
Cartesian
-1.086 4.141 1.092
0.488 1.655 0.341
1.625 5.509 1.134
-2.143 0.559 0.355
```

Calculated values
Energy relative to the elements = 0.07 eV per atom
V = 76.6 Å³/cell
E_tot = -40.9 eV/cell
Magnetization = 9.4 μB/f.u.